The following is a DFT calculation (GGA-PBE) of crystalline Ba2PrMnSe5 at its relaxed geometry.

POSCAR file:
```
Ba2PrMnSe5
1.0
2.192 -9.474 0.000
2.192 9.474 0.000
0.000 0.000 13.530
Ba Pr Mn Se
4 2 2 10
direct
0.122 0.878 0.500
0.124 0.876 0.853
0.876 0.124 0.353
0.878 0.122 0.000
0.198 0.802 0.191
0.802 0.198 0.691
0.442 0.558 0.579
0.558 0.442 0.079
0.035 0.965 0.157
0.305 0.695 0.837
0.315 0.685 0.534
0.349 0.651 0.176
0.499 0.501 0.925
0.501 0.499 0.425
0.651 0.349 0.676
0.685 0.315 0.034
0.695 0.305 0.337
0.965 0.035 0.657
```

Formation energy without anion corrections (kcal/mol of atoms): -35.684
Symmetry: Cmc2_1, No. 36
DOS(E_F) (states/eV/f.u.): 3.4
VASP energy (eV per atom): -5.460

***

The following is a DFT calculation (GGA-PBE) of crystalline Li2MnCd at its relaxed geometry.

POSCAR file:
```
Li2MnCd
1.0
-3.632 3.632 2.753
3.632 -3.632 2.753
3.632 3.632 -2.753
Li Mn Cd
4 2 2
direct
0.123 0.625 0.998
0.375 0.373 0.498
0.627 0.125 0.002
0.875 0.877 0.502
0.000 0.000 0.000
0.750 0.250 0.500
0.250 0.750 0.500
0.500 0.500 0.000
```

Symmetry: I-42d, No. 122
Calculated formation energy (eV/atom): 0.311
DOS(E_F) (states/eV/f.u.): 2.6
VASP energy (eV per atom): -3.167

***

The following is a DFT calculation (GGA-PBE) of crystalline KLi2La at its relaxed geometry.

POSCAR file:
```
KLi2La
1.0
2.082 -2.882 0.000
2.082 2.882 0.000
0.000 0.000 11.598
K Li La
1 2 1
direct
0.000 0.000 0.000
0.000 0.000 0.452
0.500 0.500 0.280
0.500 0.500 0.678
```

Symmetry: Cmm2, No. 35
Calculated formation energy (eV/atom): 0.232
DOS(E_F) (states/eV/f.u.): 4.4
VASP energy (eV per atom): -2.231